(1)
The following is a GGA-PBE calculation of a relaxed PRu2W crystal, from Alexandria.

Cell lengths 4.783, 4.783, 4.783 Å; angles 133.96, 133.96, 67.15 degrees
Fractional coordinates of all 4 atoms:
P: 0.000 0.000 0.000
Ru: 0.250 0.750 0.500
Ru: 0.500 0.500 0.000
W: 0.750 0.250 0.500

Computed properties:
Crystal system: tetragonal
Calculated formation energy (eV per atom): 0.123

=====

(2)
The following is a GGA-PBE calculation of a relaxed Mg2VB crystal, from Alexandria.

Cell lengths 6.037, 6.037, 6.037 Å; angles 97.63, 97.63, 137.25 degrees
Fractional coordinates of all 8 atoms:
Mg: 0.008 0.625 0.883
Mg: 0.375 0.258 0.383
Mg: 0.742 0.125 0.117
Mg: 0.875 0.992 0.617
V: 0.250 0.750 0.500
V: 0.500 0.500 0.000
B: 0.000 0.000 0.000
B: 0.750 0.250 0.500

Computed properties:
Crystal system: tetragonal
Calculated formation energy (eV per atom): 0.615

=====

(3)
The following is a GGA-PBE calculation of a relaxed CsZnP2S crystal, from Alexandria.

Cell lengths 7.630, 7.630, 5.653 Å; angles 90.00, 90.00, 90.00 degrees
Fractional coordinates of all 5 atoms:
Cs: 0.000 0.000 0.000
Zn: 0.500 0.500 0.500
P: 0.000 0.500 0.000
P: 0.500 0.000 0.000
S: 0.000 0.000 0.500

Computed properties:
E above lowest polymorph (meV/atom): 1197
Uncorrected formation energy (meV/atom): 1609
Crystal system: tetragonal

=====

(4)
The following is a GGA-PBE calculation of a relaxed CaAgAs2 crystal, from Alexandria.

Cell lengths 5.747, 5.747, 5.747 Å; angles 45.63, 45.63, 45.63 degrees
Fractional coordinates of all 4 atoms:
Ca: 0.000 0.000 0.000
Ag: 0.500 0.500 0.500
As: 0.236 0.236 0.236
As: 0.764 0.764 0.764

Computed properties:
Crystal system: trigonal
Calculated formation energy (eV per atom): -0.265

=====

(5)
The following is a GGA-PBE calculation of a relaxed LiHg4W crystal, from Alexandria.

Cell lengths 5.751, 5.751, 5.751 Å; angles 60.00, 60.00, 60.00 degrees
Fractional coordinates of all 6 atoms:
Li: 0.000 0.000 0.000
Hg: 0.375 0.375 0.375
Hg: 0.375 0.375 0.875
Hg: 0.375 0.875 0.375
Hg: 0.875 0.375 0.375
W: 0.750 0.750 0.750

Computed properties:
Crystal system: cubic
Calculated formation energy (eV per atom): 0.819

=====

(6)
The following is a GGA-PBE calculation of a relaxed MnFeHg2 crystal, from Alexandria.

Cell lengths 5.794, 5.794, 5.794 Å; angles 102.65, 102.65, 124.20 degrees
Fractional coordinates of all 8 atoms:
Mn: 0.000 0.000 0.000
Mn: 0.750 0.250 0.500
Fe: 0.250 0.750 0.500
Fe: 0.500 0.500 0.000
Hg: 0.130 0.125 0.505
Hg: 0.375 0.870 0.995
Hg: 0.620 0.625 0.495
Hg: 0.875 0.380 0.005

Computed properties:
E above lowest polymorph (meV/atom): 916
Crystal system: tetragonal
Calculated formation energy (eV per atom): 1.279

=====

(7)
The following is a GGA-PBE calculation of a relaxed MnInNi2 crystal, from Alexandria.

Cell lengths 9.053, 9.053, 9.053 Å; angles 155.70, 155.70, 34.63 degrees
Fractional coordinates of all 8 atoms:
Mn: 0.000 0.000 0.000
Mn: 0.750 0.250 0.500
In: 0.250 0.750 0.500
In: 0.500 0.500 0.000
Ni: 0.092 0.625 0.967
Ni: 0.375 0.342 0.467
Ni: 0.658 0.125 0.033
Ni: 0.875 0.908 0.533

Computed properties:
Crystal system: tetragonal
Calculated formation energy (eV per atom): 0.413

=====

(8)
The following is a GGA-PBE calculation of a relaxed SrMgGe2Au2 crystal, from Alexandria.

Cell lengths 4.489, 4.489, 7.485 Å; angles 90.00, 90.00, 120.00 degrees
Fractional coordinates of all 6 atoms:
Sr: 0.000 0.000 0.000
Mg: 0.000 0.000 0.500
Ge: 0.333 0.667 0.726
Ge: 0.667 0.333 0.274
Au: 0.333 0.667 0.319
Au: 0.667 0.333 0.681

Computed properties:
Crystal system: trigonal
Calculated formation energy (eV per atom): -0.511

=====

(9)
The following is a GGA-PBE calculation of a relaxed CePr15Er4 crystal, from Alexandria.

Cell lengths 5.193, 5.193, 25.860 Å; angles 90.00, 90.00, 90.00 degrees
Fractional coordinates of all 20 atoms:
Ce: 0.000 0.000 0.000
Pr: 0.000 0.500 0.100
Pr: 0.000 0.500 0.300
Pr: 0.000 0.500 0.500
Pr: 0.000 0.500 0.700
Pr: 0.000 0.500 0.900
Pr: 0.500 0.000 0.100
Pr: 0.500 0.000 0.300
Pr: 0.500 0.000 0.500
Pr: 0.500 0.000 0.700
Pr: 0.500 0.000 0.900
Pr: 0.500 0.500 0.000
Pr: 0.500 0.500 0.201
Pr: 0.500 0.500 0.400
Pr: 0.500 0.500 0.600
Pr: 0.500 0.500 0.799
Er: 0.000 0.000 0.200
Er: 0.000 0.000 0.400
Er: 0.000 0.000 0.600
Er: 0.000 0.000 0.800

Computed properties:
Crystal system: tetragonal
Calculated formation energy (eV per atom): 0.026

=====

(10)
The following is a GGA-PBE calculation of a relaxed AlSbPI2 crystal, from Alexandria.

Cell lengths 5.452, 5.452, 5.435 Å; angles 90.00, 90.00, 90.00 degrees
Fractional coordinates of all 5 atoms:
Al: 0.000 0.000 0.000
Sb: 0.500 0.500 0.000
P: 0.500 0.500 0.500
I: 0.000 0.500 0.500
I: 0.500 0.000 0.500

Computed properties:
E above lowest polymorph (meV/atom): 0
Uncorrected formation energy (meV/atom): 513
Crystal system: tetragonal

=====

(11)
The following is a GGA-PBE calculation of a relaxed NaLa2SmSe4 crystal, from Alexandria.

Cell lengths 7.323, 4.266, 7.443 Å; angles 90.00, 109.49, 90.00 degrees
Fractional coordinates of all 8 atoms:
Na: 0.000 0.000 0.000
La: 0.500 0.000 0.500
La: 0.500 0.500 0.000
Sm: 0.000 0.500 0.500
Se: 0.241 0.000 0.747
Se: 0.245 0.500 0.251
Se: 0.755 0.500 0.749
Se: 0.759 0.000 0.253

Computed properties:
Uncorrected formation energy (meV/atom): -1831
Crystal system: monoclinic

=====

(12)
The following is a GGA-PBE calculation of a relaxed NaAc2As crystal, from Alexandria.

Cell lengths 5.660, 5.660, 5.660 Å; angles 60.00, 60.00, 60.00 degrees
Fractional coordinates of all 4 atoms:
Na: 0.000 0.000 0.000
Ac: 0.250 0.250 0.250
Ac: 0.750 0.750 0.750
As: 0.500 0.500 0.500

Computed properties:
E above lowest polymorph (meV/atom): 194
Crystal system: cubic
Calculated formation energy (eV per atom): -0.296

=====

(13)
The following is a GGA-PBE calculation of a relaxed Na3HgBi crystal, from Alexandria.

Cell lengths 6.322, 5.388, 8.815 Å; angles 90.00, 108.36, 90.00 degrees
Fractional coordinates of all 10 atoms:
Na: 0.169 0.250 0.082
Na: 0.208 0.750 0.711
Na: 0.326 0.250 0.515
Na: 0.674 0.750 0.485
Na: 0.792 0.250 0.289
Na: 0.831 0.750 0.918
Hg: 0.467 0.750 0.088
Hg: 0.533 0.250 0.912
Bi: 0.126 0.750 0.299
Bi: 0.874 0.250 0.701

Computed properties:
E above lowest polymorph (meV/atom): 0
Crystal system: monoclinic
Calculated formation energy (eV per atom): -0.325

=====

(14)
The following is a GGA-PBE calculation of a relaxed DyTmPu2P4 crystal, from Alexandria.

Cell lengths 6.855, 3.996, 6.921 Å; angles 90.00, 109.67, 90.00 degrees
Fractional coordinates of all 8 atoms:
Dy: 0.000 0.000 0.000
Tm: 0.000 0.500 0.500
Pu: 0.500 0.000 0.500
Pu: 0.500 0.500 0.000
P: 0.253 0.000 0.749
P: 0.254 0.500 0.253
P: 0.746 0.500 0.747
P: 0.747 0.000 0.251

Computed properties:
Crystal system: monoclinic
Calculated formation energy (eV per atom): -1.381

=====

(15)
The following is a GGA-PBE calculation of a relaxed MgZnPt3 crystal, from Alexandria.

Cell lengths 4.595, 4.595, 4.595 Å; angles 90.00, 90.00, 90.00 degrees
Fractional coordinates of all 5 atoms:
Mg: 0.000 0.000 0.000
Zn: 0.500 0.500 0.500
Pt: 0.000 0.000 0.500
Pt: 0.000 0.500 0.000
Pt: 0.500 0.000 0.000

Computed properties:
E above lowest polymorph (meV/atom): 407
Crystal system: cubic
Calculated formation energy (eV per atom): 0.683

=====

(16)
The following is a GGA-PBE calculation of a relaxed Cs3GaHg crystal, from Alexandria.

Cell lengths 7.231, 7.231, 7.231 Å; angles 90.00, 90.00, 90.00 degrees
Fractional coordinates of all 5 atoms:
Cs: 0.000 0.000 0.500
Cs: 0.000 0.500 0.000
Cs: 0.500 0.000 0.000
Ga: 0.000 0.000 0.000
Hg: 0.500 0.500 0.500

Computed properties:
E above lowest polymorph (meV/atom): 0
Crystal system: cubic
Calculated formation energy (eV per atom): 0.118

=====

(17)
The following is a GGA-PBE calculation of a relaxed Re2MoRh crystal, from Alexandria.

Cell lengths 3.272, 3.272, 5.690 Å; angles 90.00, 90.00, 90.00 degrees
Fractional coordinates of all 4 atoms:
Re: 0.000 0.000 0.000
Re: 0.500 0.500 0.234
Mo: 0.500 0.500 0.726
Rh: 0.000 0.000 0.505

Computed properties:
E above lowest polymorph (meV/atom): 253
Crystal system: tetragonal
Calculated formation energy (eV per atom): 0.215

=====

(18)
The following is a GGA-PBE calculation of a relaxed LiTeW2 crystal, from Alexandria.

Cell lengths 5.028, 5.028, 4.557 Å; angles 97.57, 97.57, 37.11 degrees
Fractional coordinates of all 4 atoms:
Li: 0.000 0.000 0.000
Te: 0.500 0.500 0.500
W: 0.250 0.250 0.774
W: 0.750 0.750 0.226

Computed properties:
Uncorrected formation energy (meV/atom): 509
Crystal system: monoclinic

=====

(19)
The following is a GGA-PBE calculation of a relaxed CrIrSe crystal, from Alexandria.

Cell lengths 2.876, 2.876, 6.223 Å; angles 90.00, 90.00, 120.00 degrees
Fractional coordinates of all 3 atoms:
Cr: 0.000 0.000 0.000
Ir: 0.667 0.333 0.313
Se: 0.333 0.667 0.717

Computed properties:
E above lowest polymorph (meV/atom): 73
Uncorrected formation energy (meV/atom): 169
Crystal system: trigonal

=====

(20)
The following is a GGA-PBE calculation of a relaxed Tb2Ho3Cd2 crystal, from Alexandria.

Cell lengths 11.642, 11.642, 3.453 Å; angles 90.00, 90.00, 154.93 degrees
Fractional coordinates of all 7 atoms:
Tb: 0.210 0.790 0.000
Tb: 0.790 0.210 0.000
Ho: 0.354 0.646 0.500
Ho: 0.500 0.500 0.500
Ho: 0.646 0.354 0.500
Cd: 0.069 0.931 0.000
Cd: 0.931 0.069 0.000

Computed properties:
E above lowest polymorph (meV/atom): 110
Crystal system: orthorhombic
Calculated formation energy (eV per atom): -0.042

=====

(21)
The following is a GGA-PBE calculation of a relaxed Sm2HfTe5 crystal, from Alexandria.

Cell lengths 7.960, 7.960, 14.392 Å; angles 90.00, 90.00, 135.62 degrees
Fractional coordinates of all 16 atoms:
Sm: 0.154 0.846 0.560
Sm: 0.154 0.846 0.940
Sm: 0.846 0.154 0.060
Sm: 0.846 0.154 0.440
Hf: 0.189 0.811 0.250
Hf: 0.811 0.189 0.750
Te: 0.046 0.954 0.122
Te: 0.046 0.954 0.378
Te: 0.273 0.727 0.750
Te: 0.315 0.685 0.090
Te: 0.315 0.685 0.410
Te: 0.685 0.315 0.590
Te: 0.685 0.315 0.910
Te: 0.727 0.273 0.250
Te: 0.954 0.046 0.622
Te: 0.954 0.046 0.878

Computed properties:
Uncorrected formation energy (meV/atom): -1063
Crystal system: orthorhombic

=====

(22)
The following is a GGA-PBE calculation of a relaxed CdIn2Ag crystal, from Alexandria.

Cell lengths 3.611, 3.611, 7.254 Å; angles 90.00, 90.00, 90.00 degrees
Fractional coordinates of all 4 atoms:
Cd: 0.000 0.000 0.000
In: 0.500 0.500 0.267
In: 0.500 0.500 0.733
Ag: 0.000 0.000 0.500

Computed properties:
Crystal system: tetragonal
Calculated formation energy (eV per atom): 0.056

=====

(23)
The following is a GGA-PBE calculation of a relaxed AcPH2Rh crystal, from Alexandria.

Cell lengths 5.759, 5.759, 6.721 Å; angles 90.00, 90.00, 139.53 degrees
Fractional coordinates of all 10 atoms:
Ac: 0.216 0.784 0.750
Ac: 0.784 0.216 0.250
P: 0.059 0.941 0.250
P: 0.941 0.059 0.750
H: 0.346 0.654 0.055
H: 0.346 0.654 0.445
H: 0.654 0.346 0.555
H: 0.654 0.346 0.945
Rh: 0.500 0.500 0.000
Rh: 0.500 0.500 0.500

Computed properties:
Crystal system: orthorhombic
Final energy (eV per atom): -5.337

=====

(24)
The following is a GGA-PBE calculation of a relaxed CaYTeN2 crystal, from Alexandria.

Cell lengths 4.483, 4.483, 5.863 Å; angles 90.00, 90.00, 90.00 degrees
Fractional coordinates of all 5 atoms:
Ca: 0.000 0.000 0.000
Y: 0.500 0.500 0.500
Te: 0.000 0.000 0.500
N: 0.000 0.500 0.000
N: 0.500 0.000 0.000

Computed properties:
E above lowest polymorph (meV/atom): 576
Uncorrected formation energy (meV/atom): 574
Crystal system: tetragonal

=====

(25)
The following is a GGA-PBE calculation of a relaxed MnCrCo crystal, from Alexandria.

Cell lengths 3.989, 3.989, 2.464 Å; angles 90.00, 90.00, 120.00 degrees
Fractional coordinates of all 3 atoms:
Mn: 0.000 0.000 0.000
Cr: 0.333 0.667 0.721
Co: 0.667 0.333 0.357

Computed properties:
E above lowest polymorph (meV/atom): 32
Crystal system: trigonal
Calculated formation energy (eV per atom): 0.119

=====

(26)
The following is a GGA-PBE calculation of a relaxed DyLuFeRh crystal, from Alexandria.

Cell lengths 4.728, 4.728, 4.728 Å; angles 60.00, 60.00, 60.00 degrees
Fractional coordinates of all 4 atoms:
Dy: 0.000 0.000 0.000
Lu: 0.500 0.500 0.500
Fe: 0.750 0.750 0.750
Rh: 0.250 0.250 0.250

Computed properties:
Crystal system: cubic
Calculated formation energy (eV per atom): -0.361